# 1
VASP calculation (PBE) on an optimized crystal structure of BaCoMoPb2.

The structure belongs to space group P4/mmm (No. 123); the cell edges are 5.392, 5.392 and 5.815 Å and the angles 90.00°, 90.00° and 90.00°. Symmetry generates all atoms from Ba at (0.000, 0.000, 0.000), Co at (0.500, 0.500, 0.000), Mo at (0.000, 0.000, 0.500) and Pb at (0.000, 0.500, 0.500).

Its total magnetic moment is 2.4 Bohr magnetons per cell. For the calculated formation energy, the calculation gives 1.017 eV per atom.

=====

# 2
VASP calculation (PBE) on an optimized crystal structure of BaCoMo2S.

The structure belongs to space group P4/mmm (No. 123); the cell edges are 5.073, 5.073 and 4.574 Å and the angles 90.00°, 90.00° and 90.00°. Symmetry generates all atoms from Ba at (0.000, 0.000, 0.000), Co at (0.000, 0.000, 0.500), Mo at (0.000, 0.500, 0.000) and S at (0.500, 0.500, 0.500).

For the uncorrected formation energy, the calculation gives 3.035 eV/atom. Its total magnetic moment is 0.0 Bohr magnetons per cell.

=====

# 3
VASP calculation (PBE) on an optimized crystal structure of BaCo2MoS.

The structure belongs to space group P4/mmm (No. 123); the cell edges are 4.219, 4.219 and 5.699 Å and the angles 90.00°, 90.00° and 90.00°. Symmetry generates all atoms from Ba at (0.000, 0.000, 0.000), Co at (0.000, 0.500, 0.500), Mo at (0.500, 0.500, 0.000) and S at (0.000, 0.000, 0.500).

For the uncorrected formation energy, the calculation gives 1.026 eV/atom. Its total magnetic moment is 2.1 Bohr magnetons per cell.

=====

Number 2 is which compound? BaCoMo2S

=====

What did the first record say?
VASP calculation (PBE) on an optimized crystal structure of BaCoMoPb2.

The structure belongs to space group P4/mmm (No. 123); the cell edges are 5.392, 5.392 and 5.815 Å and the angles 90.00°, 90.00° and 90.00°. Symmetry generates all atoms from Ba at (0.000, 0.000, 0.000), Co at (0.500, 0.500, 0.000), Mo at (0.000, 0.000, 0.500) and Pb at (0.000, 0.500, 0.500).

Its total magnetic moment is 2.4 Bohr magnetons per cell. For the calculated formation energy, the calculation gives 1.017 eV per atom.

=====

What is the formula in the third record? BaCo2MoS